Run P
The following is a PBE calculation of a geometry-optimized BaNaSr2H structure, from the Alexandria database.

Unit cell a=5.5492 b=5.5492 c=6.5724 alpha=90.00 beta=90.00 gamma=90.00
Atoms (fractional coordinates):
1 Ba 0.0000 0.0000 0.0000
2 Na 0.5000 0.5000 0.0000
3 Sr 0.0000 0.5000 0.5000
4 Sr 0.5000 0.0000 0.5000
5 H 0.5000 0.5000 0.5000

Results
D(E_F), states/eV/f.u.: 5.45
Total magnetic moment, μB per atom: 0.0001
Volume, Å³ per atom: 40.48
Space group: P4/mmm (123)


Run Q
The following is a PBE calculation of a geometry-optimized BaNaSr2H structure, from the Alexandria database.

Unit cell a=5.6940 b=5.6940 c=6.0212 alpha=90.00 beta=90.00 gamma=90.00
Atoms (fractional coordinates):
1 Ba 0.0000 0.0000 0.0000
2 Na 0.5000 0.5000 0.0000
3 Sr 0.0000 0.5000 0.5000
4 Sr 0.5000 0.0000 0.5000
5 H 0.0000 0.0000 0.5000

Results
D(E_F), states/eV/f.u.: 3.29
Total magnetic moment, μB per atom: 0.0000
Volume, Å³ per atom: 39.04
Space group: P4/mmm (123)


The least stable of the structures above is run P, whereas run Q is the most stable.